DFT (PBE) results for NaNdBiSb after structural relaxation.

Computed properties:
Mass density: 6.9 g cm⁻³
Size of the total moment: 0.00 μB/cell
E_form (uncorrected): -1.96 eV per formula unit
Fermi-level density of states: 5.43 states/eV/f.u.

a = 7.812 Å, b = 7.812 Å, c = 7.812 Å
α = 90.00°, β = 90.00°, γ = 90.00°
Space group F-43m (No. 216)
Inequivalent atoms, fractional coordinates:
Na  0.000  0.000  0.000 (multiplicity 4)
Nd  0.000  0.000  0.500 (multiplicity 4)
Bi  0.250  0.250  0.250 (multiplicity 4)
Sb  0.250  0.250  0.750 (multiplicity 4)